No. 1
The following is a DFT calculation (GGA-PBE) of a relaxed structure of Cr7Cd3In2S16.

Output
- formation energy without anion corrections (eV per atom) = -0.631
- spin magnetization (μB per formula unit) = 21.992
- DOS at the Fermi energy (states/eV/f.u.) = 6.72
- DFT total energy (eV per atom) = -5.69
- calculated density (g/cm³) = 4.235

Cell lengths 7.4427, 7.3230, 10.3903 Å; angles 90.00, 91.26, 90.00 degrees
Closest atoms and distances in Å follow each position.
Sites, in units of the cell vectors:
Cr 0.0000 0.0000 0.0000  4 S 2.36-2.44
Cr 0.0023 0.2482 0.6272  6 S 2.41-2.47
Cr 0.0023 0.7518 0.6272  6 S 2.41-2.47
Cr 0.2510 0.5000 0.8757  6 S 2.41-2.46
Cr 0.5004 0.2466 0.1200  6 S 2.40-2.49
Cr 0.5004 0.7534 0.1200  6 S 2.40-2.49
Cr 0.7518 0.0000 0.3706  6 S 2.42-2.52
Cd 0.0064 0.5000 0.2444  4 S 2.51-2.54
Cd 0.4987 0.5000 0.5004  4 S 2.54-2.58
Cd 0.5070 0.0000 0.7462  4 S 2.51-2.54
In 0.2471 0.0000 0.3700  6 S 2.60-2.66
In 0.7554 0.5000 0.8781  6 S 2.58-2.64
S 0.0188 0.2603 0.8647  3 Cr 2.37-2.47, 1 In 2.64
S 0.0188 0.7397 0.8647  3 Cr 2.37-2.47, 1 In 2.64
S 0.2136 0.0000 0.6204  2 Cr 2.41, 1 Cd 2.52, 1 In 2.62
S 0.2186 0.5000 0.6419  3 Cr 2.44-2.45, 1 Cd 2.58
S 0.2776 0.0000 0.1151  3 Cr 2.36-2.45
S 0.2850 0.5000 0.1082  3 Cr 2.42-2.45, 1 Cd 2.54
S 0.4860 0.2740 0.8902  2 Cr 2.40-2.41, 1 Cd 2.51, 1 In 2.61
S 0.4860 0.7260 0.8902  2 Cr 2.40-2.41, 1 Cd 2.51, 1 In 2.61
S 0.5156 0.2254 0.3518  2 Cr 2.41-2.42, 1 Cd 2.54, 1 In 2.60
S 0.5156 0.7746 0.3518  2 Cr 2.41-2.42, 1 Cd 2.54, 1 In 2.60
S 0.7104 0.5000 0.1233  2 Cr 2.43, 1 Cd 2.51, 1 In 2.58
S 0.7302 0.0000 0.1285  4 Cr 2.44-2.52
S 0.7838 0.0000 0.6072  3 Cr 2.44-2.46, 1 Cd 2.54
S 0.7914 0.5000 0.6305  2 Cr 2.42, 1 Cd 2.54, 1 In 2.59
S 0.9838 0.2293 0.3937  2 Cr 2.42-2.43, 1 Cd 2.52, 1 In 2.60
S 0.9838 0.7707 0.3937  2 Cr 2.42-2.43, 1 Cd 2.52, 1 In 2.60

No. 2
The following is a DFT calculation (GGA-PBE) of a relaxed structure of CrCdInS4.

Output
- formation energy without anion corrections (eV per atom) = -0.624
- spin magnetization (μB per formula unit) = 3.000
- DFT total energy (eV per atom) = -4.88
- calculated density (g/cm³) = 4.466

Cell lengths 7.5625, 7.5625, 7.5625 Å; angles 121.04, 120.14, 88.99 degrees
Closest atoms and distances in Å follow each position.
Sites, in units of the cell vectors:
Cr 0.5000 0.0000 0.0000  6 S 2.43-2.46
Cr 0.5000 0.5000 0.5000  6 S 2.43-2.46
Cd 0.1242 0.3742 0.7500  4 S 2.54-2.57
Cd 0.8758 0.6258 0.2500  4 S 2.54-2.57
In 0.0000 0.0000 0.0000  6 S 2.60-2.66
In 0.5000 0.0000 0.5000  6 S 2.60-2.66
S 0.2750 0.2634 0.4884  1 Cr 2.43, 1 Cd 2.54, 2 In 2.60
S 0.2750 0.7866 0.0116  1 Cr 2.43, 1 Cd 2.54, 2 In 2.60
S 0.2821 0.2455 0.0366  2 Cr 2.46, 1 Cd 2.57, 1 In 2.66
S 0.2911 0.7545 0.5366  2 Cr 2.46, 1 Cd 2.57, 1 In 2.66
S 0.7089 0.2455 0.4634  2 Cr 2.46, 1 Cd 2.57, 1 In 2.66
S 0.7179 0.7545 0.9634  2 Cr 2.46, 1 Cd 2.57, 1 In 2.66
S 0.7250 0.2134 0.9884  1 Cr 2.43, 1 Cd 2.54, 2 In 2.60
S 0.7250 0.7366 0.5116  1 Cr 2.43, 1 Cd 2.54, 2 In 2.60

No. 3
The following is a DFT calculation (GGA-PBE) of a relaxed structure of CrCdInSe4.

Output
- formation energy without anion corrections (eV per atom) = -0.536
- spin magnetization (μB per formula unit) = 2.999
- DOS at the Fermi energy (states/eV/f.u.) = 0.08
- DFT total energy (eV per atom) = -4.42
- calculated density (g/cm³) = 5.603

Cell lengths 7.9539, 7.9539, 7.9539 Å; angles 120.87, 120.27, 89.02 degrees
Closest atoms and distances in Å follow each position.
Sites, in units of the cell vectors:
Cr 0.5000 0.0000 0.0000  6 Se 2.56-2.60
Cr 0.5000 0.5000 0.5000  6 Se 2.56-2.60
Cd 0.1251 0.3751 0.7500  4 Se 2.66-2.70
Cd 0.8749 0.6249 0.2500  4 Se 2.66-2.70
In 0.0000 0.0000 0.0000  6 Se 2.74-2.80
In 0.5000 0.0000 0.5000  6 Se 2.74-2.80
Se 0.2743 0.2628 0.4885  1 Cr 2.56, 1 Cd 2.66, 2 In 2.74
Se 0.2743 0.7858 0.0115  1 Cr 2.56, 1 Cd 2.66, 2 In 2.74
Se 0.2809 0.2455 0.0353  2 Cr 2.60, 1 Cd 2.70, 1 In 2.80
Se 0.2898 0.7545 0.5353  2 Cr 2.60, 1 Cd 2.70, 1 In 2.80
Se 0.7102 0.2455 0.4647  2 Cr 2.60, 1 Cd 2.70, 1 In 2.80
Se 0.7191 0.7545 0.9647  2 Cr 2.60, 1 Cd 2.70, 1 In 2.80
Se 0.7257 0.2142 0.9885  1 Cr 2.56, 1 Cd 2.66, 2 In 2.74
Se 0.7257 0.7372 0.5115  1 Cr 2.56, 1 Cd 2.66, 2 In 2.74

No. 4
The following is a DFT calculation (GGA-PBE) of a relaxed structure of CrCd2InSi.

Output
- formation energy without anion corrections (eV per atom) = 1.633
- spin magnetization (μB per formula unit) = 0.427
- DOS at the Fermi energy (states/eV/f.u.) = 8.04
- DFT total energy (eV per atom) = -2.29
- calculated density (g/cm³) = 4.869

Cell lengths 5.3010, 5.3010, 5.0935 Å; angles 90.00, 90.00, 90.00 degrees
Closest atoms and distances in Å follow each position.
Sites, in units of the cell vectors:
Cr 0.0000 0.0000 0.0000  8 Cd 3.68, 4 Si 3.75
Cd 0.0000 0.5000 0.5000  2 In 2.65
Cd 0.5000 0.0000 0.5000  2 In 2.65
In 0.5000 0.5000 0.5000  2 Si 2.55, 4 Cd 2.65
Si 0.5000 0.5000 0.0000  2 In 2.55

No. 5
The following is a DFT calculation (GGA-PBE) of a relaxed structure of CrCdIn2Si.

Output
- formation energy without anion corrections (eV per atom) = 0.545
- spin magnetization (μB per formula unit) = 3.792
- DOS at the Fermi energy (states/eV/f.u.) = 2.32
- DFT total energy (eV per atom) = -3.74
- calculated density (g/cm³) = 5.331

Cell lengths 5.2768, 5.2768, 4.7224 Å; angles 90.00, 90.00, 90.00 degrees
Closest atoms and distances in Å follow each position.
Sites, in units of the cell vectors:
Cr 0.0000 0.0000 0.0000  2 Si 2.36
Cd 0.5000 0.5000 0.0000  8 In 3.54, 4 Cr 3.73
In 0.0000 0.5000 0.5000  2 Si 2.64
In 0.5000 0.0000 0.5000  2 Si 2.64
Si 0.0000 0.0000 0.5000  2 Cr 2.36, 4 In 2.64

No. 6
The following is a DFT calculation (GGA-PBE) of a relaxed structure of Tl2CrCdIn.

Output
- spin magnetization (μB per formula unit) = 2.942
- DOS at the Fermi energy (states/eV/f.u.) = 1.91
- DFT total energy (eV per atom) = -3.15
- calculated density (g/cm³) = 7.522
- formation energy (meV per atom) = 448.9

Cell lengths 5.3511, 5.3511, 5.3041 Å; angles 90.00, 90.00, 90.00 degrees
Closest atoms and distances in Å follow each position.
Sites, in units of the cell vectors:
Tl 0.0000 0.5000 0.0000  2 Cr 2.68
Tl 0.5000 0.0000 0.0000  2 Cr 2.68
Cr 0.0000 0.0000 0.0000  2 In 2.65, 4 Tl 2.68
Cd 0.5000 0.5000 0.5000  8 Tl 3.77, 4 In 3.78
In 0.0000 0.0000 0.5000  2 Cr 2.65

No. 7
The following is a DFT calculation (GGA-PBE) of a relaxed structure of Y2CrCdIn.

Output
- spin magnetization (μB per formula unit) = 1.813
- DOS at the Fermi energy (states/eV/f.u.) = 3.79
- DFT total energy (eV per atom) = -4.89
- calculated density (g/cm³) = 5.508
- formation energy (meV per atom) = 352.1

Cell lengths 5.1488, 5.1488, 5.1979 Å; angles 90.00, 90.00, 90.00 degrees
Closest atoms and distances in Å follow each position.
Sites, in units of the cell vectors:
Y 0.0000 0.5000 0.0000  2 Cr 2.57
Y 0.5000 0.0000 0.0000  2 Cr 2.57
Cr 0.0000 0.0000 0.0000  4 Y 2.57, 2 Cd 2.60
Cd 0.0000 0.0000 0.5000  2 Cr 2.60
In 0.5000 0.5000 0.5000  4 Cd 3.64, 8 Y 3.66

No. 8
The following is a DFT calculation (GGA-PBE) of a relaxed structure of Cr2CdIr.

Output
- spin magnetization (μB per formula unit) = 0.718
- DOS at the Fermi energy (states/eV/f.u.) = 5.73
- DFT total energy (eV per atom) = -6.96
- calculated density (g/cm³) = 10.950
- formation energy (meV per atom) = 294.0

Cell lengths 6.2815, 6.2815, 6.2815 Å; angles 90.00, 90.00, 90.00 degrees
Closest atoms and distances in Å follow each position.
Sites, in units of the cell vectors:
Cr 0.0000 0.0000 0.0000  4 Cr 2.72, 4 Ir 2.72
Cr 0.0000 0.5000 0.5000  4 Cr 2.72, 4 Ir 2.72
Cr 0.2500 0.2500 0.2500  4 Cd 2.72, 4 Cr 2.72
Cr 0.2500 0.7500 0.7500  4 Cd 2.72, 4 Cr 2.72
Cr 0.5000 0.0000 0.5000  4 Cr 2.72, 4 Ir 2.72
Cr 0.5000 0.5000 0.0000  4 Cr 2.72, 4 Ir 2.72
Cr 0.7500 0.2500 0.7500  4 Cd 2.72, 4 Cr 2.72
Cr 0.7500 0.7500 0.2500  4 Cd 2.72, 4 Cr 2.72
Cd 0.0000 0.0000 0.5000  4 Cr 2.72, 4 Ir 2.72
Cd 0.0000 0.5000 0.0000  4 Cr 2.72, 4 Ir 2.72
Cd 0.5000 0.0000 0.0000  4 Cr 2.72, 4 Ir 2.72
Cd 0.5000 0.5000 0.5000  4 Cr 2.72, 4 Ir 2.72
Ir 0.2500 0.2500 0.7500  4 Cd 2.72, 4 Cr 2.72
Ir 0.2500 0.7500 0.2500  4 Cd 2.72, 4 Cr 2.72
Ir 0.7500 0.2500 0.2500  4 Cd 2.72, 4 Cr 2.72
Ir 0.7500 0.7500 0.7500  4 Cd 2.72, 4 Cr 2.72